# 1
EuGdGaGe after structural relaxation, computed with GGA-PBE. Values from VASP.

Structure (Quantum ESPRESSO input):
```
&SYSTEM
  ibrav = 0, nat = 4, ntyp = 4
/
ATOMIC_SPECIES
Eu 151.96 Eu.upf
Ge 72.64 Ge.upf
Gd 157.25 Gd.upf
Ga 69.72 Ga.upf
ATOMIC_POSITIONS crystal
Eu 0.2500 0.2500 0.2500
Ge 0.0000 0.0000 0.0000
Gd 0.7500 0.7500 0.7500
Ga 0.5000 0.5000 0.5000
CELL_PARAMETERS angstrom
5.1814 0.0000 0.0000
2.5907 4.4872 0.0000
2.5907 1.4957 4.2306
```

Computed properties:
E_form = -536 meV per atom
crystal system = cubic
SG = F-43m

***

# 2
Ba6Tl3F after structural relaxation, computed with GGA-PBE. Values from VASP.

Structure (Quantum ESPRESSO input):
```
&SYSTEM
  ibrav = 0, nat = 20, ntyp = 3
/
ATOMIC_SPECIES
Ba 137.33 Ba.upf
Tl 204.38 Tl.upf
F 19.00 F.upf
ATOMIC_POSITIONS crystal
Ba 0.1935 0.7494 0.6913
Ba 0.6935 0.6913 0.7494
Ba 0.2076 0.4449 0.8691
Ba 0.7076 0.8691 0.4449
Ba 0.9736 0.0760 0.9240
Ba 0.7138 0.3028 0.6972
Ba 0.2138 0.6972 0.3028
Ba 0.4736 0.9240 0.0760
Ba 0.2076 0.1309 0.5551
Ba 0.7076 0.5551 0.1309
Ba 0.1935 0.3087 0.2506
Ba 0.6935 0.2506 0.3087
Tl 0.5251 0.0067 0.7534
Tl 0.0251 0.7534 0.0067
Tl 0.4137 0.4776 0.5224
Tl 0.9137 0.5224 0.4776
Tl 0.0251 0.9933 0.2466
Tl 0.5251 0.2466 0.9933
F 0.0321 0.2402 0.7598
F 0.5321 0.7598 0.2402
CELL_PARAMETERS angstrom
7.6455 0.0000 0.0000
0.0000 10.7831 0.1841
0.0000 -2.2268 10.5522
```

Computed properties:
crystal system = orthorhombic
SG = Cmc2_1
energy relative to the elements, uncorrected = -789 meV per atom

***

# 3
DyHo2ZrS4 after structural relaxation, computed with GGA-PBE. Values from VASP.

Structure (Quantum ESPRESSO input):
```
&SYSTEM
  ibrav = 0, nat = 8, ntyp = 4
/
ATOMIC_SPECIES
Dy 162.50 Dy.upf
Ho 164.93 Ho.upf
Zr 91.22 Zr.upf
S 32.06 S.upf
ATOMIC_POSITIONS crystal
Dy 0.0000 0.0000 0.0000
Ho 0.5000 0.0000 0.5000
Ho 0.0000 0.5000 0.5000
Zr 0.5000 0.5000 0.0000
S 0.5000 0.2540 0.2486
S 0.5000 0.7460 0.7514
S 0.0000 0.2557 0.7544
S 0.0000 0.7444 0.2456
CELL_PARAMETERS angstrom
-0.4988 0.6937 -3.7571
-4.9738 -4.4129 -0.1545
-2.4015 6.0402 1.4340
```

Computed properties:
crystal system = monoclinic
SG = P2/m
energy relative to the elements, uncorrected = -1819 meV per atom

***

The evaluated total DFT energy (no corrections) for the records listed, in turn: -8.5361 -2.8400 -6.6708 eV per atom.
The evaluated mass density for the records listed, in turn: 7.62 5.54 7.36 g/cm³.